Here is a relaxed structure of CoSnSO from the Open Quantum Materials Database. Energies are from GGA+U.

Lattice parameters (Å, degrees): 4.2175 4.2175 7.7047 90.00 90.00 90.00
Space group P4/nmm (No. 129, origin choice 2)
Unique sites:
Co1 0.2500 0.2500 0.1165 x2
Sn1 0.2500 0.2500 0.6485 x2
S1 0.2500 0.7500 0.0000 x2
O1 0.2500 0.2500 0.3835 x2

Properties
distance to the lowest polymorph of the same formula: 0.353 eV per atom
calculated total energy: -39.15 eV/cell